# 1
Density functional theory data (PBE-GGA) for a relaxed AcEr2Si6 crystal.

Computed properties:
formation energy without anion corrections = -4.248 eV/f.u.
D(E_F) = 3.3 states/eV/cell

Cell and atoms, written as CIF:
```
data_AcEr2Si6
_cell_length_a 7.2139
_cell_length_b 7.2139
_cell_length_c 4.0688
_cell_angle_alpha 90.00
_cell_angle_beta 90.00
_cell_angle_gamma 120.00
_space_group_name_H-M_alt 'P 6/m m m'
_space_group_IT_number 191
_space_group_name_Hall '-P 6 2'
loop_
_atom_site_label
_atom_site_type_symbol
_atom_site_fract_x
_atom_site_fract_y
_atom_site_fract_z
Ac1 Ac 0.0000 0.0000 0.0000
Er1 Er 0.3333 0.6667 0.0000
Si1 Si 0.0000 0.3405 0.5000
```

---

# 2
Density functional theory data (PBE-GGA) for a relaxed PdF crystal.

Computed properties:
ΔE to the lowest computed polymorph = 0.1665 eV/atom
formation energy without anion corrections = -1.117 eV/f.u.
D(E_F) = 3.1 states/eV/cell

Cell and atoms, written as CIF:
```
data_PdF
_cell_length_a 2.8146
_cell_length_b 2.8146
_cell_length_c 7.7925
_cell_angle_alpha 90.00
_cell_angle_beta 90.00
_cell_angle_gamma 120.00
_space_group_name_H-M_alt 'P 63 m c'
_space_group_IT_number 186
_space_group_name_Hall 'P 6c -2c'
loop_
_atom_site_label
_atom_site_type_symbol
_atom_site_fract_x
_atom_site_fract_y
_atom_site_fract_z
Pd1 Pd 0.3333 0.6667 0.0000
F1 F 0.3333 0.6667 0.7412
```

---

# 3
Density functional theory data (PBE-GGA) for a relaxed Ba4SrTe crystal.

Computed properties:
formation energy without anion corrections = 0.116 eV/f.u.
D(E_F) = 33.2 states/eV/cell

Cell and atoms, written as CIF:
```
data_Ba4SrTe
_cell_length_a 10.925
_cell_length_b 10.925
_cell_length_c 10.925
_cell_angle_alpha 90.00
_cell_angle_beta 90.00
_cell_angle_gamma 90.00
_space_group_name_H-M_alt 'F -4 3 m'
_space_group_IT_number 216
_space_group_name_Hall 'F -4 2 3'
loop_
_atom_site_label
_atom_site_type_symbol
_atom_site_fract_x
_atom_site_fract_y
_atom_site_fract_z
Ba1 Ba 0.124 0.124 0.376
Sr1 Sr 0.000 0.000 0.000
Te1 Te 0.250 0.250 0.750
```

---

# 4
Density functional theory data (PBE-GGA) for a relaxed Pr2Al2Pd5Au crystal.

Computed properties:
calculated formation energy = -0.651 eV per atom
D(E_F) = 12.7 states/eV/cell

Cell and atoms, written as CIF:
```
data_Pr2Al2Pd5Au
_cell_length_a 10.393
_cell_length_b 10.393
_cell_length_c 3.522
_cell_angle_alpha 90.00
_cell_angle_beta 90.00
_cell_angle_gamma 90.00
_space_group_name_H-M_alt 'P 4/m b m'
_space_group_IT_number 127
_space_group_name_Hall '-P 4 2ab'
loop_
_atom_site_label
_atom_site_type_symbol
_atom_site_fract_x
_atom_site_fract_y
_atom_site_fract_z
Pr1 Pr 0.178 0.322 0.000
Al1 Al 0.122 0.622 0.000
Pd1 Pd 0.000 0.500 0.500
Pd2 Pd 0.060 0.792 0.500
Au1 Au 0.000 0.000 0.000
```

---

# 5
Density functional theory data (PBE-GGA) for a relaxed OsCSe2N crystal.

Computed properties:
ΔE to the lowest computed polymorph = 0.4218 eV/atom
formation energy without anion corrections = 8.581 eV/f.u.
D(E_F) = 5.2 states/eV/cell

Cell and atoms, written as CIF:
```
data_OsCSe2N
_cell_length_a 5.014
_cell_length_b 5.014
_cell_length_c 3.659
_cell_angle_alpha 90.00
_cell_angle_beta 90.00
_cell_angle_gamma 90.00
_space_group_name_H-M_alt 'P 4/m m m'
_space_group_IT_number 123
_space_group_name_Hall '-P 4 2'
loop_
_atom_site_label
_atom_site_type_symbol
_atom_site_fract_x
_atom_site_fract_y
_atom_site_fract_z
Os1 Os 0.000 0.000 0.000
C1 C 0.500 0.500 0.500
Se1 Se 0.000 0.500 0.000
N1 N 0.000 0.000 0.500
```

---

# 6
Density functional theory data (PBE-GGA) for a relaxed Be2HRhS crystal.

Computed properties:
D(E_F) = 0.8 states/eV/cell
raw total energy = -20.324 eV for the cell shown

Cell and atoms, written as CIF:
```
data_Be2HRhS
_cell_length_a 4.283
_cell_length_b 4.283
_cell_length_c 3.309
_cell_angle_alpha 90.00
_cell_angle_beta 90.00
_cell_angle_gamma 90.00
_space_group_name_H-M_alt 'P 4/m m m'
_space_group_IT_number 123
_space_group_name_Hall '-P 4 2'
loop_
_atom_site_label
_atom_site_type_symbol
_atom_site_fract_x
_atom_site_fract_y
_atom_site_fract_z
Be1 Be 0.000 0.500 0.000
H1 H 0.000 0.000 0.500
Rh1 Rh 0.000 0.000 0.000
S1 S 0.500 0.500 0.500
```

---

# 7
Density functional theory data (PBE-GGA) for a relaxed Sm4HoTmS8 crystal.

Computed properties:
formation energy without anion corrections = -26.859 eV/f.u.
D(E_F) = 24.7 states/eV/cell

Cell and atoms, written as CIF:
```
data_Sm4HoTmS8
_cell_length_a 8.1559
_cell_length_b 8.1559
_cell_length_c 19.9357
_cell_angle_alpha 90.00
_cell_angle_beta 90.00
_cell_angle_gamma 120.00
_space_group_name_H-M_alt 'R 3 m'
_space_group_IT_number 160
_space_group_name_Hall 'R 3 -2"'
loop_
_atom_site_label
_atom_site_type_symbol
_atom_site_fract_x
_atom_site_fract_y
_atom_site_fract_z
Sm1 Sm 0.0000 0.0000 0.0000
Sm2 Sm 0.1681 0.3362 0.2087
Ho1 Ho 0.0000 0.0000 0.3766
Tm1 Tm 0.0000 0.0000 0.7511
S1 S 0.0000 0.0000 0.1330
S2 S 0.0000 0.0000 0.6225
S3 S 0.0154 0.5077 0.1245
S4 S 0.1801 0.3601 0.9587
```

---

# 8
Density functional theory data (PBE-GGA) for a relaxed PuAg2Cl3O3 crystal.

Computed properties:
formation energy without anion corrections = -9.307 eV/f.u.
D(E_F) = 6.0 states/eV/cell

Cell and atoms, written as CIF:
```
data_PuAg2Cl3O3
_cell_length_a 7.5042
_cell_length_b 7.5042
_cell_length_c 3.1993
_cell_angle_alpha 90.00
_cell_angle_beta 90.00
_cell_angle_gamma 120.00
_space_group_name_H-M_alt 'P -6 2 m'
_space_group_IT_number 189
_space_group_name_Hall 'P -6 -2'
loop_
_atom_site_label
_atom_site_type_symbol
_atom_site_fract_x
_atom_site_fract_y
_atom_site_fract_z
Pu1 Pu 0.0000 0.0000 0.0000
Ag1 Ag 0.3333 0.6667 0.5000
Cl1 Cl 0.0000 0.4222 0.0000
O1 O 0.0000 0.8108 0.5000
```

---

# 9
Density functional theory data (PBE-GGA) for a relaxed Ca2BIrCl crystal.

Computed properties:
ΔE to the lowest computed polymorph = 0.0000 eV/atom
formation energy without anion corrections = -3.637 eV/f.u.
D(E_F) = 2.3 states/eV/cell

Cell and atoms, written as CIF:
```
data_Ca2BIrCl
_cell_length_a 5.320
_cell_length_b 5.320
_cell_length_c 3.921
_cell_angle_alpha 90.00
_cell_angle_beta 90.00
_cell_angle_gamma 90.00
_space_group_name_H-M_alt 'P 4/m m m'
_space_group_IT_number 123
_space_group_name_Hall '-P 4 2'
loop_
_atom_site_label
_atom_site_type_symbol
_atom_site_fract_x
_atom_site_fract_y
_atom_site_fract_z
Ca1 Ca 0.000 0.500 0.000
B1 B 0.000 0.000 0.000
Ir1 Ir 0.000 0.000 0.500
Cl1 Cl 0.500 0.500 0.500
```

---

The size of the total moment results, record by record, are as follows: 0.00; 0.07; 0.56; 0.00; 0.33; 0.00; 0.00; 1.44; 0.00 μB per formula unit.